A geometry-optimized SrPr2NpN4 structure. Source: Alexandria, functional GGA-PBE.

abc: 3.6856 12.6880 12.9167
angles: 90.00 90.00 90.00
Space group Cmcm (No. 63)
Inequivalent atoms, fractional coordinates:
Sr: 0.0000 0.1305 0.2500
Pr: 0.0000 0.3704 0.0241
Np: 0.0000 0.1366 0.7500
N: 0.0000 0.0000 0.0000
N: 0.0000 0.2471 0.6224
N: 0.0000 0.4582 0.2500

ρ = 7.285 g/cm3
Calculated volume = 18.876 A^3/atom
E_form (uncorrected) = -0.921 eV per atom
Total magnetization = 2.99 μB per formula unit
Crystal system = orthorhombic

---

A geometry-optimized TbPr2NpN4 structure. Source: Alexandria, functional GGA-PBE.

abc: 6.1089 3.5597 6.1998
angles: 90.00 108.75 90.00
Space group P2/m (No. 10)
Inequivalent atoms, fractional coordinates:
Tb: 0.0000 0.0000 0.0000
Pr: 0.0000 0.5000 0.5000
Pr: 0.5000 0.0000 0.5000
Np: 0.5000 0.5000 0.0000
N: 0.2614 0.5000 0.2177
N: 0.2702 0.0000 0.7817

ρ = 9.544 g/cm3
Calculated volume = 15.958 A^3/atom
E_form (uncorrected) = -1.362 eV per atom
Total magnetization = 2.65 μB per formula unit
Crystal system = monoclinic

---

- Among the records above, which one has the highest E_form (uncorrected)?
  SrPr2NpN4

---

- What is the formula in the first record?
  SrPr2NpN4